Entry 1:
Computed, not measured: a relaxed KGa3Se crystal at the PBE level of DFT.

a b c (Å): 5.482 5.482 5.482
angles (deg): 90.00 90.00 90.00
Element x y z (fractional)
K (0.500, 0.500, 0.500)
Ga (0.000, 0.500, 0.000)
Ga (0.000, 0.000, 0.500)
Ga (0.500, 0.000, 0.000)
Se (0.000, 0.000, 0.000)

Summary:
formation energy without anion corrections	0.194	eV per atom
energy relative to the lowest polymorph listed for this composition	0.00	eV per formula unit

Entry 2:
Computed, not measured: a relaxed AlRh2F crystal at the PBE level of DFT.

a b c (Å): 4.211 4.211 4.211
angles (deg): 60.00 60.00 60.00
Element x y z (fractional)
Rh (0.250, 0.250, 0.250)
Rh (0.750, 0.750, 0.750)
Al (0.500, 0.500, 0.500)
F (0.000, 0.000, 0.000)

Summary:
formation energy without anion corrections	-0.391	eV per atom
energy relative to the lowest polymorph listed for this composition	0.00	eV per formula unit

Entry 3:
Computed, not measured: a relaxed SrLiMo crystal at the PBE level of DFT.

a b c (Å): 7.942 7.931 2.931
angles (deg): 79.58 79.14 21.29
Element x y z (fractional)
Li (0.979, 0.979, 0.021)
Mo (0.344, 0.344, 0.656)
Sr (0.677, 0.677, 0.323)

Summary:
energy relative to the lowest polymorph listed for this composition	1.54	eV per formula unit

Entry 4:
Computed, not measured: a relaxed Na4Y3InTe8 crystal at the PBE level of DFT.

a b c (Å): 8.826 9.146 8.826
angles (deg): 118.87 120.00 90.00
Element x y z (fractional)
Na (0.500, 0.000, 0.000)
Na (0.500, 0.000, 0.500)
Na (0.000, 0.000, 0.000)
Na (0.000, 0.000, 0.500)
Y (0.500, 0.500, 0.000)
Y (0.500, 0.500, 0.500)
Y (0.000, 0.500, 0.500)
In (0.000, 0.500, 0.000)
Te (0.241, 0.730, 0.989)
Te (0.241, 0.730, 0.482)
Te (0.256, 0.268, 0.512)
Te (0.748, 0.730, 0.989)
Te (0.252, 0.270, 0.011)
Te (0.744, 0.732, 0.488)
Te (0.759, 0.270, 0.518)
Te (0.759, 0.270, 0.011)

Summary:
formation energy without anion corrections	-1.117	eV per atom

Entry 5:
Computed, not measured: a relaxed BaCu2Mo crystal at the PBE level of DFT.

a b c (Å): 5.067 5.064 3.085
angles (deg): 90.00 90.00 90.00
Element x y z (fractional)
Ba (0.000, 0.500, 0.500)
Cu (0.000, 0.000, 0.000)
Cu (0.500, 0.500, 0.000)
Mo (0.500, 0.000, 0.500)

Summary:
energy relative to the lowest polymorph listed for this composition	1.48	eV per formula unit

Entry 6:
Computed, not measured: a relaxed Pm2NdPaN4 crystal at the PBE level of DFT.

a b c (Å): 3.598 6.216 6.197
angles (deg): 109.21 90.00 90.00
Element x y z (fractional)
Pm (0.500, 0.000, 0.500)
Pm (0.000, 0.500, 0.500)
Nd (0.500, 0.500, 0.000)
Pa (0.000, 0.000, 0.000)
N (0.500, 0.225, 0.228)
N (0.500, 0.775, 0.772)
N (0.000, 0.230, 0.766)
N (0.000, 0.770, 0.234)

Summary:
formation energy without anion corrections	-1.529	eV per atom

Entry 7:
Computed, not measured: a relaxed RbTiAs2Br crystal at the PBE level of DFT.

a b c (Å): 5.341 5.658 5.341
angles (deg): 90.00 90.00 90.00
Element x y z (fractional)
As (0.000, 0.000, 0.500)
As (0.500, 0.000, 0.000)
Br (0.000, 0.000, 0.000)
Rb (0.000, 0.500, 0.000)
Ti (0.500, 0.500, 0.500)

Summary:
formation energy without anion corrections	0.882	eV per atom
energy relative to the lowest polymorph listed for this composition	7.46	eV per formula unit

Entry 8:
Computed, not measured: a relaxed La3SmPb3 crystal at the PBE level of DFT.

a b c (Å): 8.175 8.175 8.469
angles (deg): 91.38 91.38 114.52
Element x y z (fractional)
La (0.620, 0.620, 0.368)
La (0.163, 0.837, 0.500)
La (0.837, 0.163, 0.500)
La (0.226, 0.774, 0.000)
La (0.774, 0.226, 0.000)
La (0.380, 0.380, 0.632)
Sm (0.731, 0.731, 0.920)
Sm (0.269, 0.269, 0.080)
Pb (0.945, 0.945, 0.220)
Pb (0.850, 0.503, 0.702)
Pb (0.503, 0.850, 0.702)
Pb (0.150, 0.497, 0.298)
Pb (0.497, 0.150, 0.298)
Pb (0.055, 0.055, 0.780)

Summary:
VASP energy	-4.73	eV/atom